A plane-wave DFT calculation with PBE was carried out for an optimized crystal structure of La15PmNd4.

Output
Symmetry: P4/mmm (123)
Theoretical density: 6.4 g/cm³
Volume: 36.2 Å³/atom
Formation energy: 0.0098 eV/atom
M_tot: 0.00 μB/f.u.
Energy: -97.5 eV/cell

Geometry as POSCAR:
```
La15PmNd4
1.0
-1.8647 4.3186 2.3150
-4.7480 -2.2046 0.2883
6.0851 -10.0199 23.5937
La Nd Pm
15 4 1
direct
0.5000 0.5000 0.6000 La
0.5000 0.5000 0.2000 La
0.5000 0.0000 0.0998 La
0.5000 0.0000 0.5000 La
0.5000 0.0000 0.3000 La
0.5000 0.0000 0.7000 La
0.5000 0.5000 0.8000 La
0.5000 0.5000 0.0000 La
0.0000 0.5000 0.5000 La
0.5000 0.5000 0.4000 La
0.5000 0.0000 0.9002 La
0.0000 0.5000 0.0998 La
0.0000 0.5000 0.3000 La
0.0000 0.5000 0.7000 La
0.0000 0.5000 0.9002 La
0.0000 0.0000 0.6000 Nd
0.0000 0.0000 0.8000 Nd
0.0000 0.0000 0.2000 Nd
0.0000 0.0000 0.4000 Nd
0.0000 0.0000 0.0000 Pm
```